[1]
An optimized crystal structure of HoLuGe2, computed with PBE.

Properties
crystal system = tetragonal
M_tot = 0.00 μB/f.u.
formation energy from the elements = -0.610 eV per atom
V = 21.92 Å³ per atom
uncorrected energy = -5.1938 eV/atom

abc: 3.9584 4.7062 4.7062
angles: 90.00 90.00 90.00
With the nearest neighbours (Å) after each atom.
Element x y z (fractional)
Ge1 0.0000 0.0000 0.5000  4 Ho 3.07, 4 Lu 3.07, 4 Ge 3.33
Ge2 0.0000 0.5000 0.0000  4 Ho 3.07, 4 Lu 3.07, 4 Ge 3.33
Lu1 0.5000 0.5000 0.5000  8 Ge 3.07, 4 Ho 3.33
Ho1 0.5000 0.0000 0.0000  8 Ge 3.07, 4 Lu 3.33

[2]
An optimized crystal structure of AlSiTe2, computed with PBE.

Properties
crystal system = cubic
M_tot = 0.00 μB/f.u.
formation energy (no corrections) = 351 meV per atom
V = 22.78 Å³ per atom
uncorrected energy = -3.5114 eV/atom

abc: 5.0512 5.0512 5.0512
angles: 60.00 60.00 60.00
With the nearest neighbours (Å) after each atom.
Element x y z (fractional)
Si1 0.5000 0.5000 0.5000  8 Te 3.09
Te1 0.2500 0.2500 0.2500  4 Si 3.09, 4 Al 3.09
Te2 0.7500 0.7500 0.7500  4 Al 3.09, 4 Si 3.09
Al1 0.0000 0.0000 0.0000  8 Te 3.09

[3]
An optimized crystal structure of Pu2SbS6, computed with PBE.

Properties
crystal system = tetragonal
M_tot = 6.99 μB/f.u.
formation energy (no corrections) = -878 meV per atom
V = 26.20 Å³ per atom
uncorrected energy = -7.2724 eV/atom

abc: 6.2123 6.2123 12.2188
angles: 90.00 90.00 90.00
With the nearest neighbours (Å) after each atom.
Element x y z (fractional)
Pu1 0.0000 0.0000 0.3327  6 S 2.63-2.67
Pu2 0.5000 0.5000 0.8327  6 S 2.63-2.67
Pu3 0.5000 0.5000 0.1673  6 S 2.63-2.67
Pu4 0.0000 0.0000 0.6673  6 S 2.63-2.67
Sb1 0.0000 0.0000 0.0000  6 S 2.70-2.72
Sb2 0.5000 0.5000 0.5000  6 S 2.70-2.72
S1 0.3039 0.3039 0.3299  2 Pu 2.63-2.67, 1 Sb 2.70
S2 0.6961 0.6961 0.3299  2 Pu 2.63-2.67, 1 Sb 2.70
S3 0.1961 0.8039 0.8299  2 Pu 2.63-2.67, 1 Sb 2.70
S4 0.8039 0.1961 0.8299  2 Pu 2.63-2.67, 1 Sb 2.70
S5 0.1961 0.8039 0.1701  2 Pu 2.63-2.67, 1 Sb 2.70
S6 0.8039 0.1961 0.1701  2 Pu 2.63-2.67, 1 Sb 2.70
S7 0.3039 0.3039 0.6701  2 Pu 2.63-2.67, 1 Sb 2.70
S8 0.6961 0.6961 0.6701  2 Pu 2.63-2.67, 1 Sb 2.70
S9 0.3101 0.3101 0.0000  2 Pu 2.64, 1 Sb 2.72
S10 0.6899 0.6899 0.0000  2 Pu 2.64, 1 Sb 2.72
S11 0.1899 0.8101 0.5000  2 Pu 2.64, 1 Sb 2.72
S12 0.8101 0.1899 0.5000  2 Pu 2.64, 1 Sb 2.72

[4]
An optimized crystal structure of ScH, computed with PBE.

Properties
crystal system = trigonal
M_tot = 0.00 μB/f.u.
V = 13.04 Å³ per atom
uncorrected energy = -5.3376 eV/atom

abc: 3.3843 3.3843 5.2572
angles: 90.00 90.00 120.00
With the nearest neighbours (Å) after each atom.
Element x y z (fractional)
Sc1 0.3333 0.6667 0.2596  4 H 2.01-2.07
Sc2 0.6667 0.3333 0.7404  4 H 2.01-2.07
H1 0.3333 0.6667 0.6525  4 Sc 2.01-2.07
H2 0.6667 0.3333 0.3475  4 Sc 2.01-2.07

[5]
An optimized crystal structure of TeIrPt2, computed with PBE.

Properties
crystal system = tetragonal
M_tot = 0.00 μB/f.u.
formation energy (no corrections) = 583 meV per atom
V = 24.66 Å³ per atom
uncorrected energy = -5.4380 eV/atom

abc: 5.4604 5.4604 7.6604
angles: 69.12 69.12 90.00
With the nearest neighbours (Å) after each atom.
Element x y z (fractional)
Ir1 0.0000 0.0000 0.0000  4 Pt 2.47
Ir2 0.7500 0.2500 0.5000  4 Pt 2.47
Te1 0.5000 0.5000 0.0000  4 Pt 2.61
Te2 0.2500 0.7500 0.5000  4 Pt 2.61
Pt1 0.6489 0.1250 0.2500  2 Ir 2.47, 2 Te 2.61
Pt2 0.1011 0.6250 0.2500  2 Ir 2.47, 2 Te 2.61
Pt3 0.3750 0.3511 0.7500  2 Ir 2.47, 2 Te 2.61
Pt4 0.8750 0.8989 0.7500  2 Ir 2.47, 2 Te 2.61

[6]
An optimized crystal structure of Ba3YIn4, computed with PBE.

Properties
crystal system = tetragonal
M_tot = 0.00 μB/f.u.
formation energy from the elements = -0.401 eV per atom
V = 35.56 Å³ per atom
uncorrected energy = -3.2991 eV/atom

abc: 4.0880 4.0880 17.0213
angles: 90.00 90.00 90.00
With the nearest neighbours (Å) after each atom.
Element x y z (fractional)
Y1 0.5000 0.5000 0.0000  8 In 3.32
Ba1 0.5000 0.5000 0.2356  8 In 3.69-3.74, 1 Y 4.01, 4 Ba 4.09
Ba2 0.5000 0.5000 0.5000  8 In 3.63
Ba3 0.5000 0.5000 0.7644  8 In 3.69-3.74, 1 Y 4.01, 4 Ba 4.09
In1 0.0000 0.0000 0.9043  1 In 3.26, 4 Y 3.32
In2 0.0000 0.0000 0.0957  1 In 3.26, 4 Y 3.32
In3 0.0000 0.0000 0.3706  8 Ba 3.63-3.69
In4 0.0000 0.0000 0.6294  8 Ba 3.63-3.69

> Which of these has the highest uncorrected energy?

Ba3YIn4

> Which of these has the highest V?

Ba3YIn4

> Number 1 is which compound?

HoLuGe2

> Which of these has the lowest V?

ScH